(1)
# PBE InCu3Au7, relaxed
data_InCu3Au7
_chemical_formula_sum 'In2 Cu6 Au14'
_cell_length_a 8.370
_cell_length_b 9.623
_cell_length_c 5.442
_cell_angle_alpha 90.00
_cell_angle_beta 112.32
_cell_angle_gamma 90.00
_symmetry_space_group_name_H-M 'C 1 2/m 1'
_symmetry_Int_Tables_number 12
loop_
_symmetry_equiv_pos_as_xyz
'x,y,z'
'-x,-y,-z'
'-x,y,-z'
'x,-y,z'
'x+1/2,y+1/2,z'
'-x+1/2,-y+1/2,-z'
'-x+1/2,y+1/2,-z'
'x+1/2,-y+1/2,z'
loop_
_atom_site_label
_atom_site_type_symbol
_atom_site_fract_x
_atom_site_fract_y
_atom_site_fract_z
In1 In 0.000 0.000 0.000
Cu1 Cu 0.000 0.269 0.500
Cu2 Cu 0.000 0.500 0.000
Au1 Au 0.000 0.000 0.500
Au2 Au 0.175 0.269 0.187
Au3 Au 0.177 0.500 0.543
# * magnetic moment: 0.000 μB/cell
# * DOS(E_F): 0.283 states/eV per atom
# * calculated volume: 405.5 Å³/cell
# * E_form: 0.66 eV per formula unit

---

(2)
# PBE In2Cu3Au8, relaxed
data_In2Cu3Au8
_chemical_formula_sum 'In2 Cu3 Au8'
_cell_length_a 8.120
_cell_length_b 3.904
_cell_length_c 8.822
_cell_angle_alpha 90.00
_cell_angle_beta 115.73
_cell_angle_gamma 90.00
_symmetry_space_group_name_H-M 'P 1 2/m 1'
_symmetry_Int_Tables_number 10
loop_
_symmetry_equiv_pos_as_xyz
'x,y,z'
'-x,-y,-z'
'-x,y,-z'
'x,-y,z'
loop_
_atom_site_label
_atom_site_type_symbol
_atom_site_fract_x
_atom_site_fract_y
_atom_site_fract_z
In1 In 0.238 0.000 0.488
Cu1 Cu 0.268 0.500 0.000
Cu2 Cu 0.500 0.000 0.000
Au1 Au 0.098 0.500 0.202
Au2 Au 0.134 0.000 0.768
Au3 Au 0.361 0.000 0.233
Au4 Au 0.381 0.500 0.753
# * magnetic moment: 0.000 μB/cell
# * DOS(E_F): 0.245 states/eV per atom
# * calculated volume: 251.9 Å³/cell
# * E_form: -0.54 eV per formula unit

---

(3)
# PBE In3CuAu, relaxed
data_In3CuAu
_chemical_formula_sum 'In3 Cu1 Au1'
_cell_length_a 5.020
_cell_length_b 5.020
_cell_length_c 5.020
_cell_angle_alpha 90.00
_cell_angle_beta 90.00
_cell_angle_gamma 90.00
_symmetry_space_group_name_H-M 'P m -3 m'
_symmetry_Int_Tables_number 221
_symmetry_space_group_name_Hall '-P 4 2 3'
loop_
_atom_site_label
_atom_site_type_symbol
_atom_site_fract_x
_atom_site_fract_y
_atom_site_fract_z
In1 In 0.000 0.000 0.500
Cu1 Cu 0.000 0.000 0.000
Au1 Au 0.500 0.500 0.500
# * magnetic moment: 0.000 μB/cell
# * DOS(E_F): 0.499 states/eV per atom
# * calculated volume: 126.5 Å³/cell
# * E_form: 0.90 eV per formula unit

---

(4)
# PBE In2Cu2Au, relaxed
data_In2Cu2Au
_chemical_formula_sum 'In4 Cu4 Au2'
_cell_length_a 8.013
_cell_length_b 8.013
_cell_length_c 2.887
_cell_angle_alpha 90.00
_cell_angle_beta 90.00
_cell_angle_gamma 90.00
_symmetry_space_group_name_H-M 'P 4/m b m'
_symmetry_Int_Tables_number 127
_symmetry_space_group_name_Hall '-P 4 2ab'
loop_
_atom_site_label
_atom_site_type_symbol
_atom_site_fract_x
_atom_site_fract_y
_atom_site_fract_z
In1 In 0.184 0.316 0.000
Cu1 Cu 0.111 0.611 0.500
Au1 Au 0.000 0.000 0.000
# * magnetic moment: 0.000 μB/cell
# * DOS(E_F): 0.238 states/eV per atom
# * calculated volume: 185.4 Å³/cell
# * E_form: 0.56 eV per formula unit

---

(5)
# PBE InCu2Au, relaxed
data_InCu2Au
_chemical_formula_sum 'In1 Cu2 Au1'
_cell_length_a 3.183
_cell_length_b 3.183
_cell_length_c 6.376
_cell_angle_alpha 90.00
_cell_angle_beta 90.00
_cell_angle_gamma 90.00
_symmetry_space_group_name_H-M 'P 4 m m'
_symmetry_Int_Tables_number 99
loop_
_symmetry_equiv_pos_as_xyz
'x,y,z'
'-y,x,z'
'-x,-y,z'
'y,-x,z'
'-x,y,z'
'y,x,z'
'x,-y,z'
'-y,-x,z'
loop_
_atom_site_label
_atom_site_type_symbol
_atom_site_fract_x
_atom_site_fract_y
_atom_site_fract_z
In1 In 0.000 0.000 0.000
Cu1 Cu 0.000 0.000 0.548
Cu2 Cu 0.500 0.500 0.735
Au1 Au 0.500 0.500 0.306
# * magnetic moment: 0.000 μB/cell
# * DOS(E_F): 0.306 states/eV per atom
# * calculated volume: 64.6 Å³/cell
# * E_form: -0.05 eV per formula unit

---

(6)
# PBE InCu2Au, relaxed
data_InCu2Au
_chemical_formula_sum 'In1 Cu2 Au1'
_cell_length_a 4.164
_cell_length_b 4.164
_cell_length_c 3.674
_cell_angle_alpha 90.00
_cell_angle_beta 90.00
_cell_angle_gamma 90.00
_symmetry_space_group_name_H-M 'P 4/m m m'
_symmetry_Int_Tables_number 123
_symmetry_space_group_name_Hall '-P 4 2'
loop_
_atom_site_label
_atom_site_type_symbol
_atom_site_fract_x
_atom_site_fract_y
_atom_site_fract_z
In1 In 0.000 0.000 0.000
Cu1 Cu 0.000 0.500 0.500
Au1 Au 0.500 0.500 0.000
# * magnetic moment: 0.000 μB/cell
# * DOS(E_F): 0.082 states/eV per atom
# * calculated volume: 63.7 Å³/cell
# * E_form: -0.17 eV per formula unit

---

(7)
# PBE InCuAu2, relaxed
data_InCuAu2
_chemical_formula_sum 'In4 Cu4 Au8'
_cell_length_a 4.063
_cell_length_b 4.063
_cell_length_c 18.711
_cell_angle_alpha 90.00
_cell_angle_beta 90.00
_cell_angle_gamma 90.00
_symmetry_space_group_name_H-M 'I -4 2 d'
_symmetry_Int_Tables_number 122
_symmetry_space_group_name_Hall 'I -4 2bw'
loop_
_atom_site_label
_atom_site_type_symbol
_atom_site_fract_x
_atom_site_fract_y
_atom_site_fract_z
In1 In 0.000 0.000 0.000
Cu1 Cu 0.000 0.000 0.500
Au1 Au 0.236 0.250 0.625
# * magnetic moment: 0.000 μB/cell
# * DOS(E_F): 0.528 states/eV per atom
# * calculated volume: 308.9 Å³/cell
# * E_form: 0.28 eV per formula unit

---

(8)
# PBE InCuAu2, relaxed
data_InCuAu2
_chemical_formula_sum 'In2 Cu2 Au4'
_cell_length_a 2.934
_cell_length_b 4.695
_cell_length_c 11.315
_cell_angle_alpha 90.00
_cell_angle_beta 90.00
_cell_angle_gamma 90.00
_symmetry_space_group_name_H-M 'I m m m'
_symmetry_Int_Tables_number 71
_symmetry_space_group_name_Hall '-I 2 2'
loop_
_atom_site_label
_atom_site_type_symbol
_atom_site_fract_x
_atom_site_fract_y
_atom_site_fract_z
In1 In 0.000 0.000 0.000
Cu1 Cu 0.000 0.000 0.500
Au1 Au 0.000 0.000 0.266
# * magnetic moment: 0.000 μB/cell
# * DOS(E_F): 0.282 states/eV per atom
# * calculated volume: 155.9 Å³/cell
# * E_form: 0.37 eV per formula unit